Version P
# PBE-GGA NpGePt4, optimized geometry
# total magnetization	0.548	μB/atom
data_NpGePt4
_cell_length_a 7.591
_cell_length_b 7.591
_cell_length_c 7.591
_cell_angle_alpha 90.00
_cell_angle_beta 90.00
_cell_angle_gamma 90.00
_symmetry_space_group_name_H-M 'F -4 3 m'
_symmetry_Int_Tables_number 216
_symmetry_space_group_name_Hall 'F -4 2 3'
loop_
_atom_site_label
_atom_site_fract_x
_atom_site_fract_y
_atom_site_fract_z
_atom_site_occupancy
Np1 0.000 0.000 0.000 1
Ge1 0.250 0.250 0.750 1
Pt1 0.125 0.125 0.375 1

Version Q
# PBE-GGA NpGePt4, optimized geometry
# total magnetization	0.584	μB/atom
data_NpGePt4
_cell_length_a 10.962
_cell_length_b 5.724
_cell_length_c 7.486
_cell_angle_alpha 90.00
_cell_angle_beta 112.00
_cell_angle_gamma 90.00
_symmetry_space_group_name_H-M 'C 1 2/m 1'
_symmetry_Int_Tables_number 12
loop_
_symmetry_equiv_pos_as_xyz
'x,y,z'
'-x,-y,-z'
'-x,y,-z'
'x,-y,z'
'x+1/2,y+1/2,z'
'-x+1/2,-y+1/2,-z'
'-x+1/2,y+1/2,-z'
'x+1/2,-y+1/2,z'
loop_
_atom_site_label
_atom_site_fract_x
_atom_site_fract_y
_atom_site_fract_z
_atom_site_occupancy
Np1 0.204 0.000 0.314 1
Ge1 0.057 0.500 0.275 1
Pt1 0.000 0.239 0.500 1
Pt2 0.112 0.241 0.939 1
Pt3 0.227 0.000 0.729 1

Version R
# PBE-GGA NpGePt4, optimized geometry
# total magnetization	0.524	μB/atom
data_NpGePt4
_cell_length_a 12.447
_cell_length_b 6.794
_cell_length_c 5.306
_cell_angle_alpha 90.00
_cell_angle_beta 105.50
_cell_angle_gamma 90.00
_symmetry_space_group_name_H-M 'C 1 2/m 1'
_symmetry_Int_Tables_number 12
loop_
_symmetry_equiv_pos_as_xyz
'x,y,z'
'-x,-y,-z'
'-x,y,-z'
'x,-y,z'
'x+1/2,y+1/2,z'
'-x+1/2,-y+1/2,-z'
'-x+1/2,y+1/2,-z'
'x+1/2,-y+1/2,z'
loop_
_atom_site_label
_atom_site_fract_x
_atom_site_fract_y
_atom_site_fract_z
_atom_site_occupancy
Np1 0.210 0.000 0.164 1
Ge1 0.036 0.500 0.763 1
Pt1 0.000 0.199 0.000 1
Pt2 0.122 0.200 0.612 1
Pt3 0.175 0.500 0.270 1

Bottom line: version Q, by a margin of 6.4 kJ/mol of atoms.

Version P
# PBE-GGA NpGePt3, optimized geometry
# total magnetization	0.735	μB/atom
data_NpGePt3
_cell_length_a 5.416
_cell_length_b 5.589
_cell_length_c 6.050
_cell_angle_alpha 90.00
_cell_angle_beta 94.89
_cell_angle_gamma 90.00
_symmetry_space_group_name_H-M 'P 1 21/m 1'
_symmetry_Int_Tables_number 11
loop_
_symmetry_equiv_pos_as_xyz
'x,y,z'
'-x,-y,-z'
'-x,y+1/2,-z'
'x,-y+1/2,z'
loop_
_atom_site_label
_atom_site_fract_x
_atom_site_fract_y
_atom_site_fract_z
_atom_site_occupancy
Np1 0.186 0.250 0.159 1
Ge1 0.078 0.750 0.373 1
Pt1 0.318 0.002 0.660 1
Pt2 0.329 0.750 0.054 1

Version Q
# PBE-GGA NpGePt3, optimized geometry
# total magnetization	0.698	μB/atom
data_NpGePt3
_cell_length_a 6.7654
_cell_length_b 6.7654
_cell_length_c 14.8418
_cell_angle_alpha 90.00
_cell_angle_beta 90.00
_cell_angle_gamma 120.00
_symmetry_space_group_name_H-M 'R 3 c'
_symmetry_Int_Tables_number 161
_symmetry_space_group_name_Hall 'R 3 -2"c'
loop_
_atom_site_label
_atom_site_fract_x
_atom_site_fract_y
_atom_site_fract_z
_atom_site_occupancy
Np1 0.0000 0.0000 0.0000 1
Ge1 0.0000 0.0000 0.3004 1
Pt1 0.1327 0.3981 0.3342 1

Bottom line: version P, by a margin of 20.8 kJ/mol of atoms.

Version P
# PBE-GGA Np2Ge3Pt2, optimized geometry
# total magnetization	1.136	μB/atom
data_Np2Ge3Pt2
_cell_length_a 4.264
_cell_length_b 18.277
_cell_length_c 7.047
_cell_angle_alpha 90.00
_cell_angle_beta 90.00
_cell_angle_gamma 90.00
_symmetry_space_group_name_H-M 'C m c m'
_symmetry_Int_Tables_number 63
_symmetry_space_group_name_Hall '-C 2c 2'
loop_
_atom_site_label
_atom_site_fract_x
_atom_site_fract_y
_atom_site_fract_z
_atom_site_occupancy
Np1 0.000 0.052 0.250 1
Np2 0.000 0.152 0.750 1
Ge1 0.000 0.219 0.250 1
Ge2 0.000 0.437 0.065 1
Pt1 0.000 0.305 0.546 1

Version Q
# PBE-GGA Np2Ge3Pt2, optimized geometry
# total magnetization	1.087	μB/atom
data_Np2Ge3Pt2
_cell_length_a 9.984
_cell_length_b 4.259
_cell_length_c 6.780
_cell_angle_alpha 90.00
_cell_angle_beta 106.83
_cell_angle_gamma 90.00
_symmetry_space_group_name_H-M 'C 1 2/m 1'
_symmetry_Int_Tables_number 12
loop_
_symmetry_equiv_pos_as_xyz
'x,y,z'
'-x,-y,-z'
'-x,y,-z'
'x,-y,z'
'x+1/2,y+1/2,z'
'-x+1/2,-y+1/2,-z'
'-x+1/2,y+1/2,-z'
'x+1/2,-y+1/2,z'
loop_
_atom_site_label
_atom_site_fract_x
_atom_site_fract_y
_atom_site_fract_z
_atom_site_occupancy
Np1 0.158 0.000 0.304 1
Ge1 0.000 0.500 0.500 1
Ge2 0.112 0.500 0.952 1
Pt1 0.144 0.000 0.760 1

Bottom line: version P, by a margin of 5.5 kJ/mol of atoms.

Version P
# PBE-GGA Np2Ge3Pt5, optimized geometry
# total magnetization	0.793	μB/atom
data_Np2Ge3Pt5
_cell_length_a 11.412
_cell_length_b 11.459
_cell_length_c 5.732
_cell_angle_alpha 90.00
_cell_angle_beta 90.00
_cell_angle_gamma 90.00
_symmetry_space_group_name_H-M 'I b a m'
_symmetry_Int_Tables_number 72
_symmetry_space_group_name_Hall '-I 2 2c'
loop_
_atom_site_label
_atom_site_fract_x
_atom_site_fract_y
_atom_site_fract_z
_atom_site_occupancy
Np1 0.235 0.132 0.000 1
Ge1 0.000 0.500 0.250 1
Ge2 0.121 0.135 0.500 1
Pt1 0.000 0.000 0.250 1
Pt2 0.000 0.268 0.250 1
Pt3 0.168 0.398 0.000 1

Version Q
# PBE-GGA Np2Ge3Pt5, optimized geometry
# total magnetization	0.740	μB/atom
data_Np2Ge3Pt5
_cell_length_a 4.380
_cell_length_b 23.942
_cell_length_c 6.907
_cell_angle_alpha 90.00
_cell_angle_beta 90.05
_cell_angle_gamma 90.00
_symmetry_space_group_name_H-M 'C 1 c 1'
_symmetry_Int_Tables_number 9
loop_
_symmetry_equiv_pos_as_xyz
'x,y,z'
'x,-y,z+1/2'
'x+1/2,y+1/2,z'
'x+1/2,-y+1/2,z+1/2'
loop_
_atom_site_label
_atom_site_fract_x
_atom_site_fract_y
_atom_site_fract_z
_atom_site_occupancy
Np1 0.000 0.020 0.000 1
Np2 0.000 0.327 0.984 1
Ge1 0.000 0.103 0.329 1
Ge2 0.000 0.446 0.190 1
Ge3 0.001 0.277 0.409 1
Pt1 0.000 0.111 0.715 1
Pt2 0.000 0.451 0.804 1
Pt3 0.001 0.193 0.135 1
Pt4 0.001 0.229 0.723 1
Pt5 0.001 0.379 0.485 1

Bottom line: version P, by a margin of 0.9 kJ/mol of atoms.

Version P
# PBE-GGA Np3Ge4Pt4, optimized geometry
# total magnetization	1.051	μB/atom
data_Np3Ge4Pt4
_cell_length_a 3.834
_cell_length_b 4.422
_cell_length_c 26.065
_cell_angle_alpha 90.00
_cell_angle_beta 90.00
_cell_angle_gamma 90.00
_symmetry_space_group_name_H-M 'I m m m'
_symmetry_Int_Tables_number 71
_symmetry_space_group_name_Hall '-I 2 2'
loop_
_atom_site_label
_atom_site_fract_x
_atom_site_fract_y
_atom_site_fract_z
_atom_site_occupancy
Np1 0.000 0.000 0.000 1
Np2 0.000 0.500 0.141 1
Ge1 0.000 0.000 0.257 1
Ge2 0.000 0.500 0.403 1
Pt1 0.000 0.000 0.449 1
Pt2 0.000 0.500 0.308 1

Version Q
# PBE-GGA Np3Ge4Pt4, optimized geometry
# total magnetization	1.080	μB/atom
data_Np3Ge4Pt4
_cell_length_a 3.892
_cell_length_b 4.279
_cell_length_c 26.017
_cell_angle_alpha 90.00
_cell_angle_beta 90.00
_cell_angle_gamma 90.00
_symmetry_space_group_name_H-M 'I m m m'
_symmetry_Int_Tables_number 71
_symmetry_space_group_name_Hall '-I 2 2'
loop_
_atom_site_label
_atom_site_fract_x
_atom_site_fract_y
_atom_site_fract_z
_atom_site_occupancy
Np1 0.000 0.000 0.000 1
Np2 0.000 0.500 0.143 1
Ge1 0.000 0.000 0.453 1
Ge2 0.000 0.500 0.309 1
Pt1 0.000 0.000 0.253 1
Pt2 0.000 0.500 0.404 1

Bottom line: version Q, by a margin of 2.0 kJ/mol of atoms.

Version P
# PBE-GGA PuNpGe, optimized geometry
# total magnetization	0.000	μB/atom
data_PuNpGe
_cell_length_a 3.6934
_cell_length_b 3.6934
_cell_length_c 14.9980
_cell_angle_alpha 90.00
_cell_angle_beta 90.00
_cell_angle_gamma 120.00
_symmetry_space_group_name_H-M 'R 3 m'
_symmetry_Int_Tables_number 160
_symmetry_space_group_name_Hall 'R 3 -2"'
loop_
_atom_site_label
_atom_site_fract_x
_atom_site_fract_y
_atom_site_fract_z
_atom_site_occupancy
Pu1 0.0000 0.0000 0.0000 1
Np1 0.0000 0.0000 0.2553 1
Ge1 0.0000 0.0000 0.7922 1

Version Q
# PBE-GGA PuNpGe, optimized geometry
# total magnetization	0.000	μB/atom
data_PuNpGe
_cell_length_a 3.5005
_cell_length_b 3.5005
_cell_length_c 5.5632
_cell_angle_alpha 90.00
_cell_angle_beta 90.00
_cell_angle_gamma 120.00
_symmetry_space_group_name_H-M 'P 3 m 1'
_symmetry_Int_Tables_number 156
loop_
_symmetry_equiv_pos_as_xyz
'x,y,z'
'-y,x-y,z'
'-x+y,-x,z'
'-y,-x,z'
'-x+y,y,z'
'x,x-y,z'
loop_
_atom_site_label
_atom_site_fract_x
_atom_site_fract_y
_atom_site_fract_z
_atom_site_occupancy
Pu1 0.0000 0.0000 0.0000 1
Np1 0.3333 0.6667 0.7650 1
Ge1 0.6667 0.3333 0.3769 1

Bottom line: version Q, by a margin of 9.6 kJ/mol of atoms.

Version P
# PBE-GGA NpReGe2, optimized geometry
# total magnetization	0.851	μB/atom
data_NpReGe2
_cell_length_a 2.9182
_cell_length_b 2.9182
_cell_length_c 29.9884
_cell_angle_alpha 90.00
_cell_angle_beta 90.00
_cell_angle_gamma 120.00
_symmetry_space_group_name_H-M 'R -3 m'
_symmetry_Int_Tables_number 166
_symmetry_space_group_name_Hall '-R 3 2"'
loop_
_atom_site_label
_atom_site_fract_x
_atom_site_fract_y
_atom_site_fract_z
_atom_site_occupancy
Np1 0.0000 0.0000 0.0000 1
Re1 0.0000 0.0000 0.5000 1
Ge1 0.0000 0.0000 0.0988 1

Version Q
# PBE-GGA NpReGe2, optimized geometry
# total magnetization	1.192	μB/atom
data_NpReGe2
_cell_length_a 3.172
_cell_length_b 3.172
_cell_length_c 7.087
_cell_angle_alpha 90.00
_cell_angle_beta 90.00
_cell_angle_gamma 90.00
_symmetry_space_group_name_H-M 'P 4/m m m'
_symmetry_Int_Tables_number 123
_symmetry_space_group_name_Hall '-P 4 2'
loop_
_atom_site_label
_atom_site_fract_x
_atom_site_fract_y
_atom_site_fract_z
_atom_site_occupancy
Np1 0.000 0.000 0.000 1
Re1 0.000 0.000 0.500 1
Ge1 0.500 0.500 0.298 1

Bottom line: version Q, by a margin of 21.2 kJ/mol of atoms.

Version P
# PBE-GGA Np3Ge7Rh2, optimized geometry
# total magnetization	0.683	μB/atom
data_Np3Ge7Rh2
_cell_length_a 4.215
_cell_length_b 4.215
_cell_length_c 13.082
_cell_angle_alpha 90.00
_cell_angle_beta 99.26
_cell_angle_gamma 90.00
_symmetry_space_group_name_H-M 'P 1 2/m 1'
_symmetry_Int_Tables_number 10
loop_
_symmetry_equiv_pos_as_xyz
'x,y,z'
'-x,-y,-z'
'-x,y,-z'
'x,-y,z'
loop_
_atom_site_label
_atom_site_fract_x
_atom_site_fract_y
_atom_site_fract_z
_atom_site_occupancy
Np1 0.000 0.000 0.000 1
Np2 0.315 0.500 0.630 1
Ge1 0.082 0.500 0.165 1
Ge2 0.223 0.000 0.446 1
Ge3 0.418 0.000 0.836 1
Ge4 0.500 0.500 0.000 1
Rh1 0.129 0.000 0.258 1

Version Q
# PBE-GGA Np3Ge7Rh2, optimized geometry
# total magnetization	0.631	μB/atom
data_Np3Ge7Rh2
_cell_length_a 4.088
_cell_length_b 27.852
_cell_length_c 3.994
_cell_angle_alpha 90.00
_cell_angle_beta 90.00
_cell_angle_gamma 90.00
_symmetry_space_group_name_H-M 'C m m m'
_symmetry_Int_Tables_number 65
_symmetry_space_group_name_Hall '-C 2 2'
loop_
_atom_site_label
_atom_site_fract_x
_atom_site_fract_y
_atom_site_fract_z
_atom_site_occupancy
Np1 0.000 0.000 0.000 1
Np2 0.000 0.179 0.000 1
Ge1 0.000 0.082 0.500 1
Ge2 0.000 0.274 0.500 1
Ge3 0.000 0.419 0.000 1
Ge4 0.000 0.500 0.500 1
Rh1 0.000 0.361 0.500 1

Bottom line: version P, by a margin of 6.7 kJ/mol of atoms.

Version P
# PBE-GGA NpGeSb2, optimized geometry
# total magnetization	1.082	μB/atom
data_NpGeSb2
_cell_length_a 3.1624
_cell_length_b 3.1624
_cell_length_c 35.4676
_cell_angle_alpha 90.00
_cell_angle_beta 90.00
_cell_angle_gamma 120.00
_symmetry_space_group_name_H-M 'R -3 m'
_symmetry_Int_Tables_number 166
_symmetry_space_group_name_Hall '-R 3 2"'
loop_
_atom_site_label
_atom_site_fract_x
_atom_site_fract_y
_atom_site_fract_z
_atom_site_occupancy
Np1 0.0000 0.0000 0.0000 1
Ge1 0.0000 0.0000 0.5000 1
Sb1 0.0000 0.0000 0.0900 1

Version Q
# PBE-GGA NpGeSb2, optimized geometry
# total magnetization	1.008	μB/atom
data_NpGeSb2
_cell_length_a 4.027
_cell_length_b 4.027
_cell_length_c 6.044
_cell_angle_alpha 90.00
_cell_angle_beta 90.00
_cell_angle_gamma 90.00
_symmetry_space_group_name_H-M 'P 4/m m m'
_symmetry_Int_Tables_number 123
_symmetry_space_group_name_Hall '-P 4 2'
loop_
_atom_site_label
_atom_site_fract_x
_atom_site_fract_y
_atom_site_fract_z
_atom_site_occupancy
Np1 0.000 0.000 0.000 1
Ge1 0.000 0.000 0.500 1
Sb1 0.500 0.500 0.255 1

Bottom line: version Q, by a margin of 53.2 kJ/mol of atoms.

Version P
# PBE-GGA Np2GeSb, optimized geometry
# total magnetization	2.111	μB/atom
data_Np2GeSb
_cell_length_a 3.958
_cell_length_b 3.958
_cell_length_c 5.907
_cell_angle_alpha 90.00
_cell_angle_beta 90.00
_cell_angle_gamma 90.00
_symmetry_space_group_name_H-M 'P 4/m m m'
_symmetry_Int_Tables_number 123
_symmetry_space_group_name_Hall '-P 4 2'
loop_
_atom_site_label
_atom_site_fract_x
_atom_site_fract_y
_atom_site_fract_z
_atom_site_occupancy
Np1 0.000 0.000 0.230 1
Ge1 0.500 0.500 0.000 1
Sb1 0.500 0.500 0.500 1

Version Q
# PBE-GGA Np2GeSb, optimized geometry
# total magnetization	2.236	μB/atom
data_Np2GeSb
_cell_length_a 4.715
_cell_length_b 4.715
_cell_length_c 4.233
_cell_angle_alpha 90.00
_cell_angle_beta 90.00
_cell_angle_gamma 90.00
_symmetry_space_group_name_H-M 'P 4/m m m'
_symmetry_Int_Tables_number 123
_symmetry_space_group_name_Hall '-P 4 2'
loop_
_atom_site_label
_atom_site_fract_x
_atom_site_fract_y
_atom_site_fract_z
_atom_site_occupancy
Np1 0.000 0.500 0.000 1
Ge1 0.000 0.000 0.500 1
Sb1 0.500 0.500 0.500 1

Version R
# PBE-GGA Np2GeSb, optimized geometry
# total magnetization	1.763	μB/atom
data_Np2GeSb
_cell_length_a 4.3296
_cell_length_b 4.3296
_cell_length_c 20.0724
_cell_angle_alpha 90.00
_cell_angle_beta 90.00
_cell_angle_gamma 120.00
_symmetry_space_group_name_H-M 'R -3 m'
_symmetry_Int_Tables_number 166
_symmetry_space_group_name_Hall '-R 3 2"'
loop_
_atom_site_label
_atom_site_fract_x
_atom_site_fract_y
_atom_site_fract_z
_atom_site_occupancy
Np1 0.0000 0.0000 0.2422 1
Ge1 0.0000 0.0000 0.5000 1
Sb1 0.0000 0.0000 0.0000 1

Bottom line: version P, by a margin of 10.4 kJ/mol of atoms.

Version P
# PBE-GGA Np2GeSe, optimized geometry
# total magnetization	1.944	μB/atom
data_Np2GeSe
_cell_length_a 4.1771
_cell_length_b 4.1771
_cell_length_c 19.7227
_cell_angle_alpha 90.00
_cell_angle_beta 90.00
_cell_angle_gamma 120.00
_symmetry_space_group_name_H-M 'R -3 m'
_symmetry_Int_Tables_number 166
_symmetry_space_group_name_Hall '-R 3 2"'
loop_
_atom_site_label
_atom_site_fract_x
_atom_site_fract_y
_atom_site_fract_z
_atom_site_occupancy
Np1 0.0000 0.0000 0.2489 1
Ge1 0.0000 0.0000 0.5000 1
Se1 0.0000 0.0000 0.0000 1

Version Q
# PBE-GGA Np2GeSe, optimized geometry
# total magnetization	2.159	μB/atom
data_Np2GeSe
_cell_length_a 3.435
_cell_length_b 3.435
_cell_length_c 7.404
_cell_angle_alpha 90.00
_cell_angle_beta 90.00
_cell_angle_gamma 90.00
_symmetry_space_group_name_H-M 'P 4/m m m'
_symmetry_Int_Tables_number 123
_symmetry_space_group_name_Hall '-P 4 2'
loop_
_atom_site_label
_atom_site_fract_x
_atom_site_fract_y
_atom_site_fract_z
_atom_site_occupancy
Np1 0.000 0.000 0.248 1
Ge1 0.500 0.500 0.000 1
Se1 0.500 0.500 0.500 1

Bottom line: version P, by a margin of 3.6 kJ/mol of atoms.